FePt4Se: relaxed, PBE.

Output
DFT total energy in eV/atom: -5.63
Energy relative to the elements, uncorrected in kcal/mol of atoms: 8.9
DOS(E_F) in states/eV/f.u.: 5.93
M_tot in μB/cell: 3.52
Space group: F-43m, No. 216

a = 5.285 Å, b = 5.285 Å, c = 5.285 Å
α = 60.00°, β = 60.00°, γ = 60.00°
Site moments in Bohr magnetons follow the coordinates.
Positions (direct):
Fe  0.000  0.000  0.000  3.38
Pt  0.625  0.625  0.125  0.06
Pt  0.625  0.125  0.625  0.06
Pt  0.625  0.625  0.625  0.06
Pt  0.125  0.625  0.625  0.06
Se  0.250  0.250  0.250  -0.10

MgCu2Se2: relaxed, PBE.

Output
DFT total energy in eV/atom: -3.56
Energy relative to the elements, uncorrected in kcal/mol of atoms: -4.9
DOS(E_F) in states/eV/f.u.: 1.58
M_tot in μB/cell: 0.00
Space group: Cmmm, No. 65
Polymorph energy (0 for the lowest one) in meV/atom: 296.6

a = 5.123 Å, b = 5.123 Å, c = 4.069 Å
α = 90.00°, β = 90.00°, γ = 92.48°
Positions (direct):
Mg  0.000  0.000  0.500
Cu  0.735  0.265  0.000
Cu  0.265  0.735  0.000
Se  0.247  0.247  0.000
Se  0.753  0.753  0.000

Rb3SnBi3: relaxed, PBE.

Output
DFT total energy in eV/atom: -2.95
DOS(E_F) in states/eV/f.u.: 3.64
Formation enthalpy at 0 K in eV per formula unit: -2.1
M_tot in μB/cell: 0.00
Space group: C2/m, No. 12
Polymorph energy (0 for the lowest one) in meV/atom: 0.0

a = 5.800 Å, b = 7.266 Å, c = 16.255 Å
α = 83.26°, β = 79.72°, γ = 66.48°
Positions (direct):
Rb  0.519  0.338  0.624
Rb  0.481  0.662  0.376
Rb  0.261  0.254  0.225
Rb  0.739  0.746  0.775
Rb  0.403  0.274  0.919
Rb  0.597  0.726  0.081
Sn  0.762  0.069  0.406
Sn  0.238  0.931  0.594
Bi  0.868  0.722  0.542
Bi  0.132  0.278  0.458
Bi  0.105  0.865  0.925
Bi  0.895  0.135  0.075
Bi  0.955  0.854  0.236
Bi  0.045  0.146  0.764

Ca6SiO8: relaxed, PBE.

Output
DFT total energy in eV/atom: -6.67
Energy relative to the elements, uncorrected in kcal/mol of atoms: -66.1
DOS(E_F) in states/eV/f.u.: 0.00
M_tot in μB/cell: 0.00
Space group: Fm-3m, No. 225

a = 6.653 Å, b = 6.653 Å, c = 6.653 Å
α = 60.00°, β = 60.00°, γ = 60.00°
Positions (direct):
Ca  0.000  0.500  0.500
Ca  0.500  0.000  0.000
Ca  0.500  0.500  0.000
Ca  0.000  0.000  0.500
Ca  0.000  0.500  0.000
Ca  0.500  0.000  0.500
Si  0.000  0.000  0.000
O  0.750  0.750  0.750
O  0.250  0.250  0.250
O  0.799  0.201  0.201
O  0.201  0.799  0.799
O  0.201  0.201  0.799
O  0.799  0.799  0.201
O  0.799  0.201  0.799
O  0.201  0.799  0.201

MgCd2Mo: relaxed, PBE.

Output
DFT total energy in eV/atom: -3.22
DOS(E_F) in states/eV/f.u.: 2.60
Formation enthalpy at 0 K in eV per formula unit: 1.4
M_tot in μB/cell: 0.09
Space group: Imm2, No. 44

a = 5.808 Å, b = 5.808 Å, c = 5.808 Å
α = 149.65°, β = 128.90°, γ = 60.60°
Site moments in Bohr magnetons follow the coordinates.
Positions (direct):
Cd  0.003  0.003  0.000  0.00
Cd  0.750  0.250  0.500  0.00
Mg  0.495  0.495  0.000  0.00
Mo  0.252  0.752  0.500  0.08

Please write out number 2 again, unchanged.
MgCu2Se2: relaxed, PBE.

Output
DFT total energy in eV/atom: -3.56
Energy relative to the elements, uncorrected in kcal/mol of atoms: -4.9
DOS(E_F) in states/eV/f.u.: 1.58
M_tot in μB/cell: 0.00
Space group: Cmmm, No. 65
Polymorph energy (0 for the lowest one) in meV/atom: 296.6

a = 5.123 Å, b = 5.123 Å, c = 4.069 Å
α = 90.00°, β = 90.00°, γ = 92.48°
Positions (direct):
Mg  0.000  0.000  0.500
Cu  0.735  0.265  0.000
Cu  0.265  0.735  0.000
Se  0.247  0.247  0.000
Se  0.753  0.753  0.000